Record 1
The following is a PBE calculation of BaCuTe2 after structural relaxation, from the Alexandria database.

```
BaCuTe2
1.0
4.740 0.000 0.000
0.000 4.148 0.000
-0.030 0.000 6.982
Ba Cu Te
1 1 2
Direct
0.000 0.000 0.000
0.500 0.000 0.500
0.499 0.500 0.745
0.501 0.500 0.255
```

* calculated density: 5.52 g/cm³
* energy relative to the elements, uncorrected: -0.7556 eV/atom
* E_tot: -15.32 eV/cell
* SG: P2/m (10)

Record 2
The following is a PBE calculation of BaCu3Te after structural relaxation, from the Alexandria database.

```
BaCu3Te
1.0
5.121 0.000 0.000
0.000 5.121 0.000
0.000 0.000 5.121
Ba Cu Te
1 3 1
Direct
0.000 0.000 0.000
0.000 0.500 0.500
0.500 0.000 0.500
0.500 0.500 0.000
0.500 0.500 0.500
```

* calculated density: 5.63 g/cm³
* energy relative to the elements, uncorrected: 0.2407 eV/atom
* E_tot: -16.15 eV/cell
* E above lowest polymorph: 0 meV/atom
* SG: Pm-3m (221)

Record 3
The following is a PBE calculation of BaCu3Te3 after structural relaxation, from the Alexandria database.

```
BaCu3Te3
1.0
7.298 0.000 0.000
0.000 7.298 0.000
0.000 0.000 7.298
Ba Cu Te
2 6 6
Direct
0.000 0.000 0.000
0.500 0.500 0.500
0.000 0.250 0.500
0.000 0.750 0.500
0.250 0.500 0.000
0.500 0.000 0.250
0.500 0.000 0.750
0.750 0.500 0.000
0.000 0.500 0.250
0.000 0.500 0.750
0.250 0.000 0.500
0.500 0.250 0.000
0.500 0.750 0.000
0.750 0.000 0.500
```

* calculated density: 6.07 g/cm³
* energy relative to the elements, uncorrected: -0.4939 eV/atom
* E_tot: -54.19 eV/cell
* E above lowest polymorph: 22 meV/atom
* SG: Pm-3n (223)

Record 4
The following is a PBE calculation of BaCuTe after structural relaxation, from the Alexandria database.

```
BaCuTe
1.0
7.762 0.000 0.000
0.000 7.762 0.000
0.000 0.000 7.762
Ba Cu Te
4 4 4
Direct
0.000 0.000 0.000
0.000 0.500 0.500
0.500 0.000 0.500
0.500 0.500 0.000
0.250 0.250 0.250
0.250 0.750 0.750
0.750 0.250 0.750
0.750 0.750 0.250
0.250 0.250 0.750
0.250 0.750 0.250
0.750 0.250 0.250
0.750 0.750 0.750
```

* calculated density: 4.66 g/cm³
* energy relative to the elements, uncorrected: -0.2556 eV/atom
* E_tot: -39.71 eV/cell
* E above lowest polymorph: 478 meV/atom
* SG: F-43m (216)

Record 5
The following is a PBE calculation of BaCuTe after structural relaxation, from the Alexandria database.

```
BaCuTe
1.0
4.531 0.000 0.000
-2.265 3.924 0.000
0.000 0.000 4.990
Ba Cu Te
1 1 1
Direct
0.000 0.000 0.000
0.667 0.333 0.500
0.333 0.667 0.500
```

* calculated density: 6.15 g/cm³
* energy relative to the elements, uncorrected: -0.7338 eV/atom
* E_tot: -11.36 eV/cell
* E above lowest polymorph: 0 meV/atom
* SG: P-6m2 (187)

Record 6
The following is a PBE calculation of BaCuTe2 after structural relaxation, from the Alexandria database.

```
BaCuTe2
1.0
4.029 0.000 0.000
-2.014 3.489 0.000
0.000 0.000 29.009
Ba Cu Te
3 3 6
Direct
0.000 0.000 0.000
0.333 0.667 0.667
0.667 0.333 0.333
0.000 0.000 0.500
0.333 0.667 0.167
0.667 0.333 0.833
0.000 0.000 0.117
0.000 0.000 0.883
0.333 0.667 0.550
0.333 0.667 0.783
0.667 0.333 0.217
0.667 0.333 0.450
```

* calculated density: 5.57 g/cm³
* energy relative to the elements, uncorrected: -0.0921 eV/atom
* E_tot: -38.01 eV/cell
* SG: R-3m (166)

Record 7
The following is a PBE calculation of BaCuTe2 after structural relaxation, from the Alexandria database.

```
BaCuTe2
1.0
12.844 0.000 0.000
0.000 4.541 0.000
-1.597 0.000 4.251
Ba Cu Te
2 2 4
Direct
0.000 0.000 0.000
0.500 0.500 0.000
0.250 0.500 0.254
0.750 0.000 0.254
0.142 0.500 0.647
0.358 0.000 0.352
0.642 0.000 0.647
0.858 0.500 0.352
```

* calculated density: 6.11 g/cm³
* energy relative to the elements, uncorrected: -0.8378 eV/atom
* E_tot: -31.31 eV/cell
* SG: Cm (8)

Record 8
The following is a PBE calculation of BaThCuTe4 after structural relaxation, from the Alexandria database.

```
BaThCuTe4
1.0
7.688 0.000 0.000
0.000 6.497 0.000
-2.889 0.000 9.155
Ba Th Cu Te
2 2 2 8
Direct
0.246 0.250 0.061
0.754 0.750 0.939
0.274 0.250 0.562
0.726 0.750 0.438
0.267 0.750 0.323
0.733 0.250 0.677
0.012 0.505 0.718
0.012 0.995 0.718
0.423 0.750 0.599
0.432 0.750 0.129
0.568 0.250 0.871
0.577 0.250 0.401
0.988 0.005 0.282
0.988 0.495 0.282
```

* calculated density: 6.85 g/cm³
* energy relative to the elements, uncorrected: -1.0678 eV/atom
* E_tot: -66.96 eV/cell
* SG: P2_1/m (11)